This record from Alexandria via LeMat-Bulk describes an optimized crystal structure of SiHgW2. The functional is PBE.

Summary:
Total moment, μB per formula unit: 0.0
Formation energy (no corrections), eV per atom: 0.50

Geometry as CIF:
```
data_SiHgW2
_symmetry_space_group_name_H-M 'R -3 m'
_symmetry_Int_Tables_number 166
_symmetry_space_group_name_Hall '-R 3 2"'
_cell_length_a 2.8811
_cell_length_b 2.8811
_cell_length_c 27.5768
_cell_angle_alpha 90.00
_cell_angle_beta 90.00
_cell_angle_gamma 120.00
loop_
_atom_site_label
_atom_site_type_symbol
_atom_site_fract_x
_atom_site_fract_y
_atom_site_fract_z
Si1 Si 0.0000 0.0000 0.0000
Hg1 Hg 0.0000 0.0000 0.5000
W1 W 0.0000 0.0000 0.2574
```